1.
Entry from Alexandria via LeMat-Bulk: TeAuI2Cl after structural relaxation (PBE).

total energy: -7.20 eV/f.u.
ΔE to the lowest computed polymorph: 0.531 eV/atom
magnetic moment: 0.00 Bohr magnetons per cell

a = 5.6434 Å, b = 5.6434 Å, c = 5.4334 Å
α = 90.00°, β = 90.00°, γ = 90.00°
Atoms (fractional coordinates):
Te  0.0000  0.0000  0.0000
Au  0.5000  0.5000  0.0000
I  0.0000  0.5000  0.5000
I  0.5000  0.0000  0.5000
Cl  0.0000  0.0000  0.5000


2.
Entry from Alexandria via LeMat-Bulk: TeAuI2Cl after structural relaxation (PBE).

total energy: -9.55 eV/f.u.
ΔE to the lowest computed polymorph: 0.061 eV/atom
magnetic moment: 1.38 Bohr magnetons per cell

a = 5.5711 Å, b = 5.5711 Å, c = 5.6114 Å
α = 90.00°, β = 90.00°, γ = 90.00°
Atoms (fractional coordinates):
Te  0.0000  0.0000  0.0000
Au  0.0000  0.0000  0.5000
I  0.0000  0.5000  0.5000
I  0.5000  0.0000  0.5000
Cl  0.5000  0.5000  0.0000


3.
Entry from Alexandria via LeMat-Bulk: TeAuI2Cl after structural relaxation (PBE).

total energy: -9.86 eV/f.u.
ΔE to the lowest computed polymorph: 0.000 eV/atom
magnetic moment: 0.00 Bohr magnetons per cell

a = 5.9677 Å, b = 5.9677 Å, c = 5.2727 Å
α = 90.00°, β = 90.00°, γ = 90.00°
Atoms (fractional coordinates):
Te  0.0000  0.0000  0.0000
Au  0.0000  0.0000  0.5000
I  0.0000  0.5000  0.0000
I  0.5000  0.0000  0.0000
Cl  0.5000  0.5000  0.5000


4.
Entry from Alexandria via LeMat-Bulk: TlAuICl after structural relaxation (PBE).

total energy: -10.74 eV/f.u.
magnetic moment: 0.00 Bohr magnetons per cell

a = 4.6934 Å, b = 4.6989 Å, c = 8.1239 Å
α = 106.59°, β = 90.16°, γ = 119.91°
Atoms (fractional coordinates):
Tl  0.0000  0.0000  0.0000
Au  0.4797  0.9691  0.4451
I  0.7921  0.5931  0.3824
Cl  0.6071  0.2164  0.8216


5.
Entry from Alexandria via LeMat-Bulk: TlAuICl2 after structural relaxation (PBE).

total energy: -13.04 eV/f.u.
magnetic moment: 0.00 Bohr magnetons per cell

a = 5.1792 Å, b = 5.1792 Å, c = 5.6663 Å
α = 90.00°, β = 90.00°, γ = 90.00°
Atoms (fractional coordinates):
Tl  0.0000  0.0000  0.0000
Au  0.5000  0.5000  0.5000
I  0.5000  0.5000  0.0000
Cl  0.0000  0.5000  0.5000
Cl  0.5000  0.0000  0.5000


6.
Entry from Alexandria via LeMat-Bulk: TlAuI2Cl after structural relaxation (PBE).

total energy: -12.28 eV/f.u.
magnetic moment: 0.00 Bohr magnetons per cell

a = 5.7366 Å, b = 5.7366 Å, c = 5.1462 Å
α = 90.00°, β = 90.00°, γ = 90.00°
Atoms (fractional coordinates):
Tl  0.0000  0.0000  0.0000
Au  0.5000  0.5000  0.5000
I  0.0000  0.5000  0.5000
I  0.5000  0.0000  0.5000
Cl  0.5000  0.5000  0.0000